Entry 1:
8
Lattice="1.893 -6.634 0.000 1.893 6.634 0.000 0.000 0.000 5.805" Properties=species:S:1:pos:R:3 comment="ZnCdSeO | OQMD | PBE-GGA | optimized geometry" polymorph_energy_mev_per_atom=33 sg="Cmc2_1 (36)" pbc="T T T"
Zn 1.893 5.869 2.902
Zn 1.893 -5.869 0.000
Cd 1.893 2.153 2.407
Cd 1.893 -2.153 5.310
Se 1.893 2.244 5.112
Se 1.893 -2.244 2.210
O 1.893 5.707 4.870
O 1.893 -5.707 1.968

Entry 2:
9
Lattice="4.223 0.000 0.000 0.000 4.223 0.000 0.000 0.000 7.275" Properties=species:S:1:pos:R:3 comment="Sm2Cd2O5 | OQMD | PBE-GGA | optimized geometry" magmom_total_mub_per_fu=0.00 sg="P4/mmm (123)" energy_ev_per_atom=-5.728 pbc="T T T"
Sm 0.000 0.000 0.000
Sm 0.000 0.000 3.637
Cd 2.112 2.112 1.498
Cd 2.112 2.112 5.777
O 0.000 2.112 1.458
O 0.000 2.112 5.817
O 2.112 0.000 1.458
O 2.112 0.000 5.817
O 2.112 2.112 3.637